# K3MnNi2F9, relaxed, DFT GGA+U
# * Fermi-level density of states: 0.00 states/eV/atom
# * magnetization: 9.00 μB/f.u.
# * calculated volume: 211 Å³ per cell
# * E: -71.4 eV/cell
data_K3MnNi2F9
_cell_length_a 5.8363
_cell_length_b 5.8363
_cell_length_c 7.1578
_cell_angle_alpha 90.00
_cell_angle_beta 90.00
_cell_angle_gamma 120.00
_space_group_name_H-M_alt 'P -3 m 1'
_space_group_IT_number 164
_space_group_name_Hall '-P 3 2"'
loop_
_atom_site_label
_atom_site_type_symbol
_atom_site_fract_x
_atom_site_fract_y
_atom_site_fract_z
K1 K 0.0000 0.0000 0.0000
K2 K 0.3333 0.6667 0.6706
Mn1 Mn 0.0000 0.0000 0.5000
Ni1 Ni 0.3333 0.6667 0.1624
F1 F 0.0000 0.5000 0.0000
F2 F 0.1707 0.3414 0.3270